Compound: CaTc3
Source: Alexandria via LeMat-Bulk
Functional: PBEsol
Structure: relaxed

a b c (Å): 4.522 4.522 3.055
angles (deg): 90.00 90.00 90.00
Space group P4/mmm (No. 123)
Asymmetric unit:
Ca: 0.000 0.000 0.000 (multiplicity 1)
Tc: 0.000 0.500 0.500 (multiplicity 2)
Tc: 0.500 0.500 0.000 (multiplicity 1)

Properties
polymorph energy (0 for the lowest one)	140.6	meV/atom
Fermi-level density of states	4.6	states/eV/cell
ΔE_f	267	kJ/mol of formula units
calculated volume	15.62	A^3/atom

Compound: CaTc3
Source: Alexandria via LeMat-Bulk
Functional: PBEsol
Structure: relaxed

a b c (Å): 6.277 6.277 6.277
angles (deg): 90.00 90.00 90.00
Space group Fm-3m (No. 225)
Asymmetric unit:
Ca: 0.000 0.000 0.000 (multiplicity 4)
Tc: 0.000 0.000 0.500 (multiplicity 4)
Tc: 0.250 0.250 0.250 (multiplicity 8)

Properties
polymorph energy (0 for the lowest one)	0.0	meV/atom
Fermi-level density of states	13.5	states/eV/cell
ΔE_f	213	kJ/mol of formula units
calculated volume	15.45	A^3/atom

Compound: Ca2Tc
Source: Alexandria via LeMat-Bulk
Functional: PBEsol
Structure: relaxed

a b c (Å): 5.1111 5.1111 2.9176
angles (deg): 90.00 90.00 120.00
Space group P-3m1 (No. 164)
Asymmetric unit:
Ca: 0.3333 0.6667 0.3468 (multiplicity 2)
Tc: 0.0000 0.0000 0.0000 (multiplicity 1)

Properties
polymorph energy (0 for the lowest one)	419.4	meV/atom
Fermi-level density of states	1.8	states/eV/cell
ΔE_f	203	kJ/mol of formula units
calculated volume	22.00	A^3/atom

Compound: Ca5Tc
Source: Alexandria via LeMat-Bulk
Functional: PBEsol
Structure: relaxed

a b c (Å): 5.540 3.581 19.039
angles (deg): 90.00 90.00 90.00
Space group Amm2 (No. 38)
Asymmetric unit:
Ca: 0.000 0.000 0.000 (multiplicity 2)
Ca: 0.000 0.000 0.263 (multiplicity 2)
Ca: 0.500 0.000 0.178 (multiplicity 2)
Ca: 0.500 0.000 0.539 (multiplicity 2)
Ca: 0.500 0.000 0.862 (multiplicity 2)
Tc: 0.000 0.000 0.629 (multiplicity 2)

Properties
Fermi-level density of states	13.2	states/eV/cell
ΔE_f	265	kJ/mol of formula units
calculated volume	31.48	A^3/atom

Compound: CaTcTe
Source: Alexandria via LeMat-Bulk
Functional: PBEsol
Structure: relaxed

a b c (Å): 6.454 6.454 6.454
angles (deg): 90.00 90.00 90.00
Space group F-43m (No. 216)
Asymmetric unit:
Ca: 0.000 0.000 0.000 (multiplicity 4)
Tc: 0.250 0.250 0.750 (multiplicity 4)
Te: 0.000 0.000 0.500 (multiplicity 4)

Properties
uncorrected formation energy	145	meV per atom
polymorph energy (0 for the lowest one)	40.0	meV/atom
Fermi-level density of states	13.3	states/eV/cell
calculated volume	22.40	A^3/atom

Compound: CaTcTe2
Source: Alexandria via LeMat-Bulk
Functional: PBEsol
Structure: relaxed

a b c (Å): 4.449 5.462 7.303
angles (deg): 90.00 90.00 90.00
Space group Immm (No. 71)
Asymmetric unit:
Ca: 0.000 0.000 0.000 (multiplicity 2)
Tc: 0.000 0.000 0.500 (multiplicity 2)
Te: 0.000 0.500 0.219 (multiplicity 4)

Properties
uncorrected formation energy	-246	meV per atom
polymorph energy (0 for the lowest one)	123.3	meV/atom
Fermi-level density of states	4.5	states/eV/cell
calculated volume	22.18	A^3/atom

Compound: CaTcTe
Source: Alexandria via LeMat-Bulk
Functional: PBEsol
Structure: relaxed

a b c (Å): 3.5176 3.5176 6.5548
angles (deg): 90.00 90.00 120.00
Space group P3m1 (No. 156)
Asymmetric unit:
Ca: 0.0000 0.0000 0.0000 (multiplicity 1)
Tc: 0.6667 0.3333 0.6491 (multiplicity 1)
Te: 0.3333 0.6667 0.4038 (multiplicity 1)

Properties
uncorrected formation energy	105	meV per atom
polymorph energy (0 for the lowest one)	0.0	meV/atom
Fermi-level density of states	1.3	states/eV/cell
calculated volume	23.41	A^3/atom

Compound: CaTcTe2
Source: Alexandria via LeMat-Bulk
Functional: PBEsol
Structure: relaxed

a b c (Å): 4.764 4.160 11.247
angles (deg): 90.00 90.00 90.00
Space group Amm2 (No. 38)
Asymmetric unit:
Ca: 0.000 0.000 0.000 (multiplicity 2)
Tc: 0.500 0.000 0.796 (multiplicity 2)
Te: 0.000 0.000 0.714 (multiplicity 2)
Te: 0.500 0.000 0.431 (multiplicity 2)

Properties
uncorrected formation energy	-332	meV per atom
polymorph energy (0 for the lowest one)	37.0	meV/atom
Fermi-level density of states	5.6	states/eV/cell
calculated volume	27.87	A^3/atom

Compound: CaTc2Te2
Source: Alexandria via LeMat-Bulk
Functional: PBEsol
Structure: relaxed

a b c (Å): 4.418 4.418 11.557
angles (deg): 90.00 90.00 90.00
Space group I4/mmm (No. 139)
Asymmetric unit:
Ca: 0.000 0.000 0.000 (multiplicity 2)
Tc: 0.000 0.500 0.250 (multiplicity 4)
Te: 0.000 0.000 0.363 (multiplicity 4)

Properties
uncorrected formation energy	-135	meV per atom
Fermi-level density of states	8.4	states/eV/cell
calculated volume	22.56	A^3/atom

Compound: CaTcTe2
Source: Alexandria via LeMat-Bulk
Functional: PBEsol
Structure: relaxed

a b c (Å): 8.941 3.517 6.759
angles (deg): 90.00 110.13 90.00
Space group Cm (No. 8)
Asymmetric unit:
Ca: 0.000 0.000 0.000 (multiplicity 2)
Tc: 0.303 0.000 0.591 (multiplicity 2)
Te: 0.112 0.500 0.668 (multiplicity 2)
Te: 0.287 0.500 0.281 (multiplicity 2)

Properties
uncorrected formation energy	-369	meV per atom
polymorph energy (0 for the lowest one)	0.0	meV/atom
Fermi-level density of states	4.7	states/eV/cell
calculated volume	24.95	A^3/atom

Compound: CaTlTc2
Source: Alexandria via LeMat-Bulk
Functional: PBEsol
Structure: relaxed

a b c (Å): 6.673 6.673 6.673
angles (deg): 90.00 90.00 90.00
Space group Fm-3m (No. 225)
Asymmetric unit:
Ca: 0.000 0.000 0.000 (multiplicity 4)
Tl: 0.000 0.000 0.500 (multiplicity 4)
Tc: 0.250 0.250 0.250 (multiplicity 8)

Properties
polymorph energy (0 for the lowest one)	223.0	meV/atom
Fermi-level density of states	20.1	states/eV/cell
ΔE_f	356	kJ/mol of formula units
calculated volume	18.57	A^3/atom

Compound: CaTlTc2
Source: Alexandria via LeMat-Bulk
Functional: PBEsol
Structure: relaxed

a b c (Å): 2.792 2.792 9.500
angles (deg): 90.00 90.00 90.00
Space group P4/mmm (No. 123)
Asymmetric unit:
Ca: 0.000 0.000 0.000 (multiplicity 1)
Tl: 0.000 0.000 0.500 (multiplicity 1)
Tc: 0.500 0.500 0.258 (multiplicity 2)

Properties
polymorph energy (0 for the lowest one)	234.4	meV/atom
Fermi-level density of states	5.1	states/eV/cell
ΔE_f	361	kJ/mol of formula units
calculated volume	18.51	A^3/atom